No. 1
A plane-wave DFT calculation with GGA-PBEsol was carried out for a relaxed InGeSb2I crystal.

Lattice parameters (Å, degrees): 5.530 5.530 5.638 90.00 90.00 90.00
Fractional positions:
I1 0.000 0.000 0.500
Sb1 0.000 0.500 0.000
Sb2 0.500 0.000 0.000
Ge1 0.500 0.500 0.500
In1 0.000 0.000 0.000

Properties
For the formation energy without anion corrections, the calculation gives 399 kJ/mol of formula units.

***

No. 2
A plane-wave DFT calculation with GGA-PBEsol was carried out for a relaxed YCdIn crystal.

Lattice parameters (Å, degrees): 3.485 4.850 4.850 120.00 90.00 90.00
Fractional positions:
Y1 0.333 0.667 0.333
Cd1 0.833 0.000 0.000
In1 0.833 0.333 0.667

Properties
The value obtained for the energy of formation is -0.47 eV/atom.

***

No. 3
A plane-wave DFT calculation with GGA-PBEsol was carried out for a relaxed Ta2FeSe crystal.

Lattice parameters (Å, degrees): 3.205 3.618 5.451 90.00 107.10 90.00
Last column: magnetic moment on the atom in μB.
Fractional positions:
Fe1 0.693 0.000 0.386  0.80
Se1 0.557 0.500 0.114  0.00
Ta1 0.953 0.000 0.905  0.00
Ta2 0.293 0.500 0.585  -0.04

Properties
For the formation energy without anion corrections, the calculation gives -52 kJ/mol of formula units.

***

No. 4
A plane-wave DFT calculation with GGA-PBEsol was carried out for a relaxed Ca3NbPt crystal.

Lattice parameters (Å, degrees): 5.411 5.411 5.411 90.00 90.00 90.00
Last column: magnetic moment on the atom in μB.
Fractional positions:
Nb1 0.500 0.500 0.500  2.77
Ca1 0.000 0.500 0.000  0.02
Ca2 0.000 0.000 0.500  0.02
Ca3 0.500 0.000 0.000  0.02
Pt1 0.000 0.000 0.000  0.03

Properties
The value obtained for the energy of formation is 0.39 eV/atom.